Ce2PrDy3As6 | PBE-GGA | relaxed

Summary:
Size of the total moment   0.101 μB per atom
E_form   -1494 meV per atom
E   -76.28 eV for the cell shown

Lattice parameters (Å, degrees): 7.250 7.250 7.233 99.61 99.61 119.99
Last column: magnetic moment on the atom in μB.
Fractional coordinates of all 12 atoms:
Ce 0.333 0.667 0.000  0.55
Ce 0.667 0.333 0.000  0.55
Pr 0.000 0.000 0.000  0.01
Dy 0.165 0.835 0.500  0.00
Dy 0.835 0.165 0.500  0.00
Dy 0.500 0.500 0.500  0.00
As 0.915 0.576 0.744  -0.01
As 0.747 0.747 0.257  -0.01
As 0.085 0.424 0.256  -0.01
As 0.576 0.915 0.744  -0.01
As 0.253 0.253 0.743  -0.01
As 0.424 0.085 0.256  -0.01